! Ca4InPt GGA-PBE optimized geometry; values from VASP
! crystal system = monoclinic
! magnetic moment = 0.0 μB per formula unit
! DOS at the Fermi energy = 4.05 states/eV/f.u.
! ΔH_f (0 K) = -0.546 eV/atom
&SYSTEM
  ibrav = 0, nat = 12, ntyp = 3
/
ATOMIC_SPECIES
Ca 40.08 Ca.upf
In 114.82 In.upf
Pt 195.08 Pt.upf
CELL_PARAMETERS angstrom
4.592 -6.982 0.000
4.592 6.982 0.000
-2.098 0.000 5.654
ATOMIC_POSITIONS crystal
Ca 0.056 0.714 0.937
Ca 0.217 0.362 0.649
Ca 0.286 0.944 0.563
Ca 0.362 0.217 0.149
Ca 0.638 0.783 0.851
Ca 0.714 0.056 0.437
Ca 0.783 0.638 0.351
Ca 0.944 0.286 0.063
In 0.369 0.631 0.250
In 0.631 0.369 0.750
Pt 0.001 0.999 0.750
Pt 0.999 0.001 0.250


! CaIn4Pt4 GGA-PBE optimized geometry; values from VASP
! crystal system = tetragonal
! magnetic moment = 0.0 μB per formula unit
! DOS at the Fermi energy = 4.99 states/eV/f.u.
! ΔH_f (0 K) = -0.491 eV/atom
&SYSTEM
  ibrav = 0, nat = 18, ntyp = 3
/
ATOMIC_SPECIES
Ca 40.08 Ca.upf
In 114.82 In.upf
Pt 195.08 Pt.upf
CELL_PARAMETERS angstrom
6.975 0.000 0.000
0.000 6.975 0.000
0.000 0.000 8.381
ATOMIC_POSITIONS crystal
Ca 0.250 0.750 0.250
Ca 0.750 0.250 0.750
In 0.005 0.750 0.622
In 0.250 0.505 0.878
In 0.250 0.995 0.878
In 0.495 0.750 0.622
In 0.505 0.250 0.378
In 0.750 0.005 0.122
In 0.750 0.495 0.122
In 0.995 0.250 0.378
Pt 0.047 0.250 0.055
Pt 0.250 0.047 0.555
Pt 0.250 0.453 0.555
Pt 0.453 0.250 0.055
Pt 0.547 0.750 0.945
Pt 0.750 0.547 0.445
Pt 0.750 0.953 0.445
Pt 0.953 0.750 0.945


! CaInPt2 GGA-PBE optimized geometry; values from VASP
! crystal system = monoclinic
! magnetic moment = 0.0 μB per formula unit
! DOS at the Fermi energy = 1.07 states/eV/f.u.
! ΔH_f (0 K) = -0.608 eV/atom
&SYSTEM
  ibrav = 0, nat = 4, ntyp = 3
/
ATOMIC_SPECIES
Ca 40.08 Ca.upf
In 114.82 In.upf
Pt 195.08 Pt.upf
CELL_PARAMETERS angstrom
5.269 -1.554 0.000
5.269 1.554 0.000
-1.249 0.000 4.748
ATOMIC_POSITIONS crystal
Ca 0.000 0.000 0.000
In 0.788 0.788 0.364
Pt 0.245 0.245 0.838
Pt 0.526 0.526 0.510


! RbCaInPt2 GGA-PBE optimized geometry; values from VASP
! crystal system = tetragonal
! magnetic moment = 0.0 μB per formula unit
! DOS at the Fermi energy = 2.60 states/eV/f.u.
! ΔH_f (0 K) = 1.082 eV/atom
&SYSTEM
  ibrav = 0, nat = 5, ntyp = 4
/
ATOMIC_SPECIES
Rb 85.47 Rb.upf
Ca 40.08 Ca.upf
In 114.82 In.upf
Pt 195.08 Pt.upf
CELL_PARAMETERS angstrom
5.423 0.000 0.000
0.000 5.423 0.000
0.000 0.000 5.573
ATOMIC_POSITIONS crystal
Rb 0.000 0.000 0.000
Ca 0.500 0.500 0.500
In 0.000 0.000 0.500
Pt 0.000 0.500 0.000
Pt 0.500 0.000 0.000


! RbCaIn2Pt GGA-PBE optimized geometry; values from VASP
! crystal system = tetragonal
! magnetic moment = 0.0 μB per formula unit
! DOS at the Fermi energy = 3.04 states/eV/f.u.
! ΔH_f (0 K) = -0.328 eV/atom
&SYSTEM
  ibrav = 0, nat = 5, ntyp = 4
/
ATOMIC_SPECIES
Rb 85.47 Rb.upf
Ca 40.08 Ca.upf
In 114.82 In.upf
Pt 195.08 Pt.upf
CELL_PARAMETERS angstrom
5.340 0.000 0.000
0.000 5.340 0.000
0.000 0.000 5.594
ATOMIC_POSITIONS crystal
Rb 0.000 0.000 0.000
Ca 0.500 0.500 0.000
In 0.000 0.500 0.500
In 0.500 0.000 0.500
Pt 0.500 0.500 0.500


! RbCaIn2Pt GGA-PBE optimized geometry; values from VASP
! crystal system = tetragonal
! magnetic moment = 0.0 μB per formula unit
! DOS at the Fermi energy = 3.32 states/eV/f.u.
! ΔH_f (0 K) = 0.856 eV/atom
&SYSTEM
  ibrav = 0, nat = 5, ntyp = 4
/
ATOMIC_SPECIES
Rb 85.47 Rb.upf
Ca 40.08 Ca.upf
In 114.82 In.upf
Pt 195.08 Pt.upf
CELL_PARAMETERS angstrom
5.949 0.000 0.000
0.000 5.949 0.000
0.000 0.000 5.447
ATOMIC_POSITIONS crystal
Rb 0.000 0.000 0.000
Ca 0.500 0.500 0.500
In 0.000 0.500 0.000
In 0.500 0.000 0.000
Pt 0.000 0.000 0.500


! Ca2In6PtRh GGA-PBE optimized geometry; values from VASP
! crystal system = cubic
! magnetic moment = 0.0 μB per formula unit
! DOS at the Fermi energy = 5.25 states/eV/f.u.
! ΔH_f (0 K) = -0.255 eV/atom
&SYSTEM
  ibrav = 0, nat = 10, ntyp = 4
/
ATOMIC_SPECIES
Ca 40.08 Ca.upf
In 114.82 In.upf
Pt 195.08 Pt.upf
Rh 102.91 Rh.upf
CELL_PARAMETERS angstrom
0.000 5.173 5.173
5.173 0.000 5.173
5.173 5.173 0.000
ATOMIC_POSITIONS crystal
Ca 0.250 0.250 0.250
Ca 0.750 0.750 0.750
In 0.248 0.248 0.752
In 0.248 0.752 0.248
In 0.248 0.752 0.752
In 0.752 0.248 0.248
In 0.752 0.248 0.752
In 0.752 0.752 0.248
Pt 0.500 0.500 0.500
Rh 0.000 0.000 0.000


! Ca2In5Pt2Rh GGA-PBE optimized geometry; values from VASP
! crystal system = tetragonal
! magnetic moment = 0.0 μB per formula unit
! DOS at the Fermi energy = 5.84 states/eV/f.u.
! ΔH_f (0 K) = -0.492 eV/atom
&SYSTEM
  ibrav = 0, nat = 20, ntyp = 4
/
ATOMIC_SPECIES
Ca 40.08 Ca.upf
In 114.82 In.upf
Pt 195.08 Pt.upf
Rh 102.91 Rh.upf
CELL_PARAMETERS angstrom
10.457 0.000 0.000
0.000 10.457 0.000
0.000 0.000 4.024
ATOMIC_POSITIONS crystal
Ca 0.175 0.325 0.000
Ca 0.325 0.825 0.000
Ca 0.675 0.175 0.000
Ca 0.825 0.675 0.000
In 0.000 0.500 0.500
In 0.062 0.806 0.500
In 0.194 0.062 0.500
In 0.306 0.562 0.500
In 0.438 0.306 0.500
In 0.500 0.000 0.500
In 0.562 0.694 0.500
In 0.694 0.438 0.500
In 0.806 0.938 0.500
In 0.938 0.194 0.500
Pt 0.127 0.627 0.000
Pt 0.373 0.127 0.000
Pt 0.627 0.873 0.000
Pt 0.873 0.373 0.000
Rh 0.000 0.000 0.000
Rh 0.500 0.500 0.000


! Ca2InPtS GGA-PBE optimized geometry; values from VASP
! uncorrected formation energy = -2.1 eV per formula unit
! crystal system = tetragonal
! magnetic moment = 0.0 μB per formula unit
! DOS at the Fermi energy = 5.52 states/eV/f.u.
&SYSTEM
  ibrav = 0, nat = 5, ntyp = 4
/
ATOMIC_SPECIES
Ca 40.08 Ca.upf
In 114.82 In.upf
Pt 195.08 Pt.upf
S 32.06 S.upf
CELL_PARAMETERS angstrom
5.652 0.000 0.000
0.000 5.652 0.000
0.000 0.000 4.571
ATOMIC_POSITIONS crystal
Ca 0.000 0.500 0.000
Ca 0.500 0.000 0.000
In 0.000 0.000 0.500
Pt 0.500 0.500 0.000
S 0.500 0.500 0.500


! Ca2InSb3Pt4 GGA-PBE optimized geometry; values from VASP
! uncorrected formation energy = -7.2 eV per formula unit
! crystal system = tetragonal
! magnetic moment = 0.0 μB per formula unit
! DOS at the Fermi energy = 4.74 states/eV/f.u.
&SYSTEM
  ibrav = 0, nat = 10, ntyp = 4
/
ATOMIC_SPECIES
Ca 40.08 Ca.upf
In 114.82 In.upf
Sb 121.76 Sb.upf
Pt 195.08 Pt.upf
CELL_PARAMETERS angstrom
4.566 0.000 0.000
0.000 4.566 0.000
0.000 0.000 10.967
ATOMIC_POSITIONS crystal
Ca 0.000 0.500 0.235
Ca 0.500 0.000 0.765
In 0.000 0.000 0.500
Sb 0.000 0.500 0.871
Sb 0.500 0.000 0.129
Sb 0.500 0.500 0.500
Pt 0.000 0.000 0.000
Pt 0.000 0.500 0.635
Pt 0.500 0.000 0.365
Pt 0.500 0.500 0.000


! CaScInPt GGA-PBE optimized geometry; values from VASP
! crystal system = cubic
! magnetic moment = 0.0 μB per formula unit
! DOS at the Fermi energy = 1.86 states/eV/f.u.
! ΔH_f (0 K) = -0.638 eV/atom
&SYSTEM
  ibrav = 0, nat = 4, ntyp = 4
/
ATOMIC_SPECIES
Ca 40.08 Ca.upf
Sc 44.96 Sc.upf
In 114.82 In.upf
Pt 195.08 Pt.upf
CELL_PARAMETERS angstrom
0.000 3.524 3.524
3.524 0.000 3.524
3.524 3.524 0.000
ATOMIC_POSITIONS crystal
Ca 0.000 0.000 0.000
Sc 0.500 0.500 0.500
In 0.250 0.250 0.250
Pt 0.750 0.750 0.750


! Ca2InSiPt6 GGA-PBE optimized geometry; values from VASP
! uncorrected formation energy = -6.9 eV per formula unit
! crystal system = monoclinic
! magnetic moment = 0.0 μB per formula unit
! DOS at the Fermi energy = 3.39 states/eV/f.u.
&SYSTEM
  ibrav = 0, nat = 10, ntyp = 4
/
ATOMIC_SPECIES
Ca 40.08 Ca.upf
In 114.82 In.upf
Si 28.09 Si.upf
Pt 195.08 Pt.upf
CELL_PARAMETERS angstrom
4.839 -2.795 0.000
4.839 2.795 0.000
-3.213 0.000 8.168
ATOMIC_POSITIONS crystal
Ca 0.201 0.201 0.104
Ca 0.799 0.799 0.896
In 0.000 0.000 0.500
Si 0.500 0.500 0.000
Pt 0.237 0.741 0.221
Pt 0.259 0.259 0.779
Pt 0.259 0.763 0.779
Pt 0.741 0.237 0.221
Pt 0.741 0.741 0.221
Pt 0.763 0.259 0.779


! Ca2InSiPt GGA-PBE optimized geometry; values from VASP
! uncorrected formation energy = 2.1 eV per formula unit
! crystal system = tetragonal
! magnetic moment = 0.0 μB per formula unit
! DOS at the Fermi energy = 3.83 states/eV/f.u.
&SYSTEM
  ibrav = 0, nat = 5, ntyp = 4
/
ATOMIC_SPECIES
Ca 40.08 Ca.upf
In 114.82 In.upf
Si 28.09 Si.upf
Pt 195.08 Pt.upf
CELL_PARAMETERS angstrom
5.743 0.000 0.000
0.000 5.743 0.000
0.000 0.000 4.900
ATOMIC_POSITIONS crystal
Ca 0.000 0.500 0.000
Ca 0.500 0.000 0.000
In 0.000 0.000 0.000
Si 0.500 0.500 0.500
Pt 0.000 0.000 0.500


! Ca2InSi3Pt4 GGA-PBE optimized geometry; values from VASP
! uncorrected formation energy = -8.6 eV per formula unit
! crystal system = tetragonal
! magnetic moment = 0.0 μB per formula unit
! DOS at the Fermi energy = 4.85 states/eV/f.u.
&SYSTEM
  ibrav = 0, nat = 10, ntyp = 4
/
ATOMIC_SPECIES
Ca 40.08 Ca.upf
In 114.82 In.upf
Si 28.09 Si.upf
Pt 195.08 Pt.upf
CELL_PARAMETERS angstrom
4.224 0.000 0.000
0.000 4.224 0.000
0.000 0.000 10.534
ATOMIC_POSITIONS crystal
Ca 0.000 0.500 0.243
Ca 0.500 0.000 0.757
In 0.000 0.000 0.500
Si 0.000 0.500 0.876
Si 0.500 0.000 0.124
Si 0.500 0.500 0.500
Pt 0.000 0.000 0.000
Pt 0.000 0.500 0.653
Pt 0.500 0.000 0.347
Pt 0.500 0.500 0.000


! Ca2InSnPt6 GGA-PBE optimized geometry; values from VASP
! crystal system = cubic
! magnetic moment = 0.0 μB per formula unit
! DOS at the Fermi energy = 6.62 states/eV/f.u.
! ΔH_f (0 K) = 0.087 eV/atom
&SYSTEM
  ibrav = 0, nat = 10, ntyp = 4
/
ATOMIC_SPECIES
Ca 40.08 Ca.upf
In 114.82 In.upf
Sn 118.71 Sn.upf
Pt 195.08 Pt.upf
CELL_PARAMETERS angstrom
0.000 4.994 4.994
4.994 0.000 4.994
4.994 4.994 0.000
ATOMIC_POSITIONS crystal
Ca 0.250 0.250 0.250
Ca 0.750 0.750 0.750
In 0.000 0.000 0.000
Sn 0.500 0.500 0.500
Pt 0.251 0.251 0.749
Pt 0.251 0.749 0.251
Pt 0.251 0.749 0.749
Pt 0.749 0.251 0.251
Pt 0.749 0.251 0.749
Pt 0.749 0.749 0.251


! SrCa2InPt GGA-PBE optimized geometry; values from VASP
! crystal system = tetragonal
! magnetic moment = 0.0 μB per formula unit
! DOS at the Fermi energy = 2.38 states/eV/f.u.
! ΔH_f (0 K) = -0.482 eV/atom
&SYSTEM
  ibrav = 0, nat = 5, ntyp = 4
/
ATOMIC_SPECIES
Sr 87.62 Sr.upf
Ca 40.08 Ca.upf
In 114.82 In.upf
Pt 195.08 Pt.upf
CELL_PARAMETERS angstrom
5.539 0.000 0.000
0.000 5.539 0.000
0.000 0.000 5.828
ATOMIC_POSITIONS crystal
Sr 0.000 0.000 0.000
Ca 0.000 0.500 0.500
Ca 0.500 0.000 0.500
In 0.500 0.500 0.000
Pt 0.000 0.000 0.500


! Sr2CaInPt GGA-PBE optimized geometry; values from VASP
! crystal system = tetragonal
! magnetic moment = 0.0 μB per formula unit
! DOS at the Fermi energy = 2.64 states/eV/f.u.
! ΔH_f (0 K) = -0.471 eV/atom
&SYSTEM
  ibrav = 0, nat = 5, ntyp = 4
/
ATOMIC_SPECIES
Sr 87.62 Sr.upf
Ca 40.08 Ca.upf
In 114.82 In.upf
Pt 195.08 Pt.upf
CELL_PARAMETERS angstrom
5.840 0.000 0.000
0.000 5.840 0.000
0.000 0.000 5.554
ATOMIC_POSITIONS crystal
Sr 0.000 0.500 0.000
Sr 0.500 0.000 0.000
Ca 0.000 0.000 0.500
In 0.500 0.500 0.500
Pt 0.000 0.000 0.000


! Sr2CaInPt GGA-PBE optimized geometry; values from VASP
! crystal system = tetragonal
! magnetic moment = 0.0 μB per formula unit
! DOS at the Fermi energy = 5.56 states/eV/f.u.
! ΔH_f (0 K) = -0.389 eV/atom
&SYSTEM
  ibrav = 0, nat = 5, ntyp = 4
/
ATOMIC_SPECIES
Sr 87.62 Sr.upf
Ca 40.08 Ca.upf
In 114.82 In.upf
Pt 195.08 Pt.upf
CELL_PARAMETERS angstrom
5.910 0.000 0.000
0.000 5.910 0.000
0.000 0.000 5.286
ATOMIC_POSITIONS crystal
Sr 0.000 0.500 0.000
Sr 0.500 0.000 0.000
Ca 0.000 0.000 0.500
In 0.500 0.500 0.500
Pt 0.500 0.500 0.000


! SrCa2InPt GGA-PBE optimized geometry; values from VASP
! crystal system = tetragonal
! magnetic moment = 0.0 μB per formula unit
! DOS at the Fermi energy = 4.18 states/eV/f.u.
! ΔH_f (0 K) = -0.466 eV/atom
&SYSTEM
  ibrav = 0, nat = 5, ntyp = 4
/
ATOMIC_SPECIES
Sr 87.62 Sr.upf
Ca 40.08 Ca.upf
In 114.82 In.upf
Pt 195.08 Pt.upf
CELL_PARAMETERS angstrom
5.600 0.000 0.000
0.000 5.600 0.000
0.000 0.000 5.320
ATOMIC_POSITIONS crystal
Sr 0.000 0.000 0.000
Ca 0.000 0.500 0.500
Ca 0.500 0.000 0.500
In 0.500 0.500 0.000
Pt 0.500 0.500 0.500


! CaThInPt GGA-PBE optimized geometry; values from VASP
! crystal system = cubic
! magnetic moment = 0.0 μB per formula unit
! DOS at the Fermi energy = 3.11 states/eV/f.u.
! ΔH_f (0 K) = -0.576 eV/atom
&SYSTEM
  ibrav = 0, nat = 4, ntyp = 4
/
ATOMIC_SPECIES
Ca 40.08 Ca.upf
Th 232.04 Th.upf
In 114.82 In.upf
Pt 195.08 Pt.upf
CELL_PARAMETERS angstrom
0.000 3.708 3.708
3.708 0.000 3.708
3.708 3.708 0.000
ATOMIC_POSITIONS crystal
Ca 0.000 0.000 0.000
Th 0.500 0.500 0.500
In 0.750 0.750 0.750
Pt 0.250 0.250 0.250


! CaTlIn2Pt GGA-PBE optimized geometry; values from VASP
! crystal system = tetragonal
! magnetic moment = 0.0 μB per formula unit
! DOS at the Fermi energy = 2.69 states/eV/f.u.
! ΔH_f (0 K) = -0.373 eV/atom
&SYSTEM
  ibrav = 0, nat = 5, ntyp = 4
/
ATOMIC_SPECIES
Ca 40.08 Ca.upf
Tl 204.38 Tl.upf
In 114.82 In.upf
Pt 195.08 Pt.upf
CELL_PARAMETERS angstrom
5.200 0.000 0.000
0.000 5.200 0.000
0.000 0.000 5.509
ATOMIC_POSITIONS crystal
Ca 0.000 0.000 0.000
Tl 0.500 0.500 0.000
In 0.000 0.500 0.500
In 0.500 0.000 0.500
Pt 0.000 0.000 0.500


! Ca2Zn3InPt4 GGA-PBE optimized geometry; values from VASP
! crystal system = tetragonal
! magnetic moment = 0.0 μB per formula unit
! DOS at the Fermi energy = 3.69 states/eV/f.u.
! ΔH_f (0 K) = -0.686 eV/atom
&SYSTEM
  ibrav = 0, nat = 10, ntyp = 4
/
ATOMIC_SPECIES
Ca 40.08 Ca.upf
Zn 65.41 Zn.upf
In 114.82 In.upf
Pt 195.08 Pt.upf
CELL_PARAMETERS angstrom
4.199 0.000 0.000
0.000 4.199 0.000
0.000 0.000 11.198
ATOMIC_POSITIONS crystal
Ca 0.000 0.500 0.231
Ca 0.500 0.000 0.769
Zn 0.000 0.500 0.871
Zn 0.500 0.000 0.129
Zn 0.500 0.500 0.500
In 0.000 0.000 0.500
Pt 0.000 0.000 0.000
Pt 0.000 0.500 0.649
Pt 0.500 0.000 0.351
Pt 0.500 0.500 0.000


! CaPu2In GGA-PBE optimized geometry; values from VASP
! crystal system = tetragonal
! magnetic moment = 12.5 μB per formula unit
! DOS at the Fermi energy = 13.96 states/eV/f.u.
! ΔH_f (0 K) = 0.020 eV/atom
&SYSTEM
  ibrav = 0, nat = 4, ntyp = 3
/
ATOMIC_SPECIES
Ca 40.08 Ca.upf
Pu 244.00 Pu.upf
In 114.82 In.upf
CELL_PARAMETERS angstrom
4.593 0.000 0.000
0.000 4.593 0.000
0.000 0.000 5.277
ATOMIC_POSITIONS crystal
Ca 0.000 0.000 0.000
Pu 0.000 0.500 0.500
Pu 0.500 0.000 0.500
In 0.500 0.500 0.000


! CaPu2In3 GGA-PBE optimized geometry; values from VASP
! crystal system = tetragonal
! magnetic moment = 11.1 μB per formula unit
! DOS at the Fermi energy = 13.89 states/eV/f.u.
! ΔH_f (0 K) = -0.245 eV/atom
&SYSTEM
  ibrav = 0, nat = 6, ntyp = 3
/
ATOMIC_SPECIES
Ca 40.08 Ca.upf
Pu 244.00 Pu.upf
In 114.82 In.upf
CELL_PARAMETERS angstrom
3.305 0.000 0.000
0.000 3.305 0.000
0.000 0.000 14.433
ATOMIC_POSITIONS crystal
Ca 0.000 0.000 0.000
Pu 0.000 0.000 0.333
Pu 0.000 0.000 0.667
In 0.500 0.500 0.167
In 0.500 0.500 0.500
In 0.500 0.500 0.833


! Ca2PuIn9 GGA-PBE optimized geometry; values from VASP
! crystal system = tetragonal
! magnetic moment = 5.5 μB per formula unit
! DOS at the Fermi energy = 18.23 states/eV/f.u.
! ΔH_f (0 K) = -0.285 eV/atom
&SYSTEM
  ibrav = 0, nat = 12, ntyp = 3
/
ATOMIC_SPECIES
Ca 40.08 Ca.upf
Pu 244.00 Pu.upf
In 114.82 In.upf
CELL_PARAMETERS angstrom
4.694 0.000 0.000
0.000 4.694 0.000
0.000 0.000 14.104
ATOMIC_POSITIONS crystal
Ca 0.000 0.000 0.167
Ca 0.000 0.000 0.833
Pu 0.000 0.000 0.500
In 0.000 0.500 0.000
In 0.000 0.500 0.335
In 0.000 0.500 0.665
In 0.500 0.000 0.000
In 0.500 0.000 0.335
In 0.500 0.000 0.665
In 0.500 0.500 0.168
In 0.500 0.500 0.500
In 0.500 0.500 0.832